i | This record from the Open Quantum Materials Database describes a relaxed GdCoTeO crystal. The functional is PBE with a Hubbard U.

Output
- Symmetry: No. 166

Unit cell a=8.605 b=8.605 c=8.605 alpha=35.54 beta=35.54 gamma=35.54
Positions (direct):
Co1 0.390 0.390 0.390
Co2 0.610 0.610 0.610
Gd1 0.233 0.233 0.233
Gd2 0.767 0.767 0.767
O1 0.315 0.315 0.315
O2 0.685 0.685 0.685
Te1 0.096 0.096 0.096
Te2 0.904 0.904 0.904

***

ii | This record from the Open Quantum Materials Database describes a relaxed GdCoTeO crystal. The functional is PBE with a Hubbard U.

Output
- Symmetry: No. 166

Unit cell a=8.594 b=8.594 c=8.594 alpha=35.28 beta=35.28 gamma=35.28
Positions (direct):
Co1 0.383 0.383 0.383
Co2 0.617 0.617 0.617
Gd1 0.224 0.224 0.224
Gd2 0.776 0.776 0.776
O1 0.306 0.306 0.306
O2 0.694 0.694 0.694
Te1 0.086 0.086 0.086
Te2 0.914 0.914 0.914

***

It is i that is the most stable of them.

***

i | This record from the Open Quantum Materials Database describes a relaxed GdCoTeO crystal. The functional is PBE with a Hubbard U.

Output
- Symmetry: No. 166

Unit cell a=11.159 b=11.159 c=11.159 alpha=21.53 beta=21.53 gamma=21.53
Positions (direct):
Co1 0.461 0.461 0.461
Co2 0.539 0.539 0.539
Gd1 0.292 0.292 0.292
Gd2 0.708 0.708 0.708
O1 0.359 0.359 0.359
O2 0.641 0.641 0.641
Te1 0.108 0.108 0.108
Te2 0.892 0.892 0.892

***

ii | This record from the Open Quantum Materials Database describes a relaxed GdCoTeO crystal. The functional is PBE with a Hubbard U.

Output
- Symmetry: No. 166

Unit cell a=5.274 b=5.274 c=8.617 alpha=72.18 beta=107.82 gamma=120.00
Positions (direct):
Co1 0.387 0.613 0.161
Co2 0.613 0.387 0.839
Gd1 0.771 0.229 0.314
Gd2 0.229 0.771 0.686
O1 0.689 0.311 0.066
O2 0.311 0.689 0.934
Te1 0.091 0.909 0.274
Te2 0.909 0.091 0.726

***

It is i that is the most stable of them.